Entry from the Open Quantum Materials Database: a relaxed Na6Sn2Os crystal (GGA-PBE).

Lattice parameters (Å, degrees): 9.9056 5.2753 9.0682 90.00 95.61 90.00
Closest atoms and distances in Å follow each position.
Space group C2/m (No. 12)
Inequivalent atoms, fractional coordinates:
Na1 0.0389 0.0000 0.2475  4 Na 3.01-3.31, 3 Sn 3.15-3.23
Na2 0.1763 0.5000 0.1008  4 Sn 3.11-3.47, 3 Na 3.30-3.31
Na3 0.1936 0.0000 0.5499  5 Na 3.01-3.30, 3 Os 3.11-3.27, 2 Sn 3.32
Sn1 0.1357 0.5000 0.7564  1 Os 2.57
Os1 0.0000 0.5000 0.5000  2 Sn 2.57

## Properties
spin magnetization: 0.07 μB/f.u.
VASP energy: -0.2069 Ry/atom

Entry from the Open Quantum Materials Database: a relaxed Pm3GaS6 crystal (GGA-PBE).

Lattice parameters (Å, degrees): 10.9449 13.6129 6.6048 90.00 90.00 90.00
Closest atoms and distances in Å follow each position.
Space group Cmc2_1 (No. 36)
Inequivalent atoms, fractional coordinates:
Pm1 0.0000 0.1003 0.0000  7 S 2.81-3.10
Pm2 0.1848 0.4001 0.0855  7 S 2.75-3.04
Ga1 0.0000 0.3013 0.6242  4 S 2.29-2.34
S1 0.0000 0.2828 0.2799  1 Ga 2.29
S2 0.0000 0.4594 0.7640  1 Ga 2.34
S3 0.1616 0.0263 0.2928  4 Pm 2.75-2.82
S4 0.1637 0.2362 0.7960  1 Ga 2.30

## Properties
spin magnetization: 0.00 μB/f.u.
VASP energy: -0.4369 Ry/atom

Entry from the Open Quantum Materials Database: a relaxed RbSbPPt2 crystal (GGA-PBE).

Lattice parameters (Å, degrees): 5.7171 6.9095 7.1473 90.00 109.96 90.00
Closest atoms and distances in Å follow each position.
Space group Cm (No. 8)
Inequivalent atoms, fractional coordinates:
Rb1 0.0000 0.0000 0.0000  2 P 3.47-3.85, 2 Pt 3.61, 2 Sb 3.64-3.69
Sb1 0.3595 0.0000 0.6585  4 Pt 2.67-2.69
P1 0.1027 0.5000 0.3391  4 Pt 2.39-2.42
Pt1 0.4601 0.2935 0.4516  2 P 2.39-2.42, 1 Sb 2.67

## Properties
spin magnetization: 0.00 μB/f.u.
VASP energy: -0.3708 Ry/atom

Entry from the Open Quantum Materials Database: a relaxed MgRe2Ag crystal (GGA-PBE).

Lattice parameters (Å, degrees): 6.3039 6.3039 6.3039 90.00 90.00 90.00
Closest atoms and distances in Å follow each position.
Space group F-43m (No. 216)
Inequivalent atoms, fractional coordinates:
Mg1 0.0000 0.0000 0.0000  4 Ag 2.73, 4 Re 2.73
Re1 0.0000 0.0000 0.5000  4 Re 2.73, 4 Ag 2.73
Re2 0.2500 0.2500 0.7500  4 Re 2.73, 4 Mg 2.73
Ag1 0.2500 0.2500 0.2500  4 Re 2.73, 4 Mg 2.73

## Properties
spin magnetization: 0.00 μB/f.u.
VASP energy: -0.5052 Ry/atom

Entry from the Open Quantum Materials Database: a relaxed CsHoB4 crystal (GGA-PBE).

Lattice parameters (Å, degrees): 3.2756 3.2756 9.3467 90.00 90.00 120.00
Closest atoms and distances in Å follow each position.
Space group P6/mmm (No. 191)
Inequivalent atoms, fractional coordinates:
Cs1 0.0000 0.0000 0.0000  6 Cs 3.28, 12 B 3.39
Ho1 0.0000 0.0000 0.5000  12 B 2.65
B1 0.3333 0.6667 0.3011  3 B 1.89

## Properties
E above lowest polymorph: 0 meV per atom
spin magnetization: 0.01 μB/f.u.
VASP energy: -0.3841 Ry/atom

Entry from the Open Quantum Materials Database: a relaxed Li2Sc2Si2PdPt crystal (GGA-PBE).

Lattice parameters (Å, degrees): 4.3804 4.3804 6.1954 90.00 90.00 90.00
Closest atoms and distances in Å follow each position.
Space group P-4m2 (No. 115)
Inequivalent atoms, fractional coordinates:
Li1 0.0000 0.0000 0.0000  4 Sc 2.68, 4 Si 2.68
Li2 0.5000 0.5000 0.5000  4 Si 2.68, 4 Sc 2.69
Sc1 0.0000 0.5000 0.2488  2 Pd 2.68, 4 Li 2.68-2.69, 2 Pt 2.69
Si1 0.0000 0.5000 0.7498  4 Li 2.68, 2 Pt 2.68, 2 Pd 2.68
Pd1 0.5000 0.5000 0.0000  4 Sc 2.68, 4 Si 2.68
Pt1 0.0000 0.0000 0.5000  4 Si 2.68, 4 Sc 2.69

## Properties
spin magnetization: 0.00 μB/f.u.
VASP energy: -0.4154 Ry/atom

Entry from the Open Quantum Materials Database: a relaxed PrIr2 crystal (GGA-PBE).

Lattice parameters (Å, degrees): 7.7014 7.7014 7.7014 90.00 90.00 90.00
Closest atoms and distances in Å follow each position.
Space group Fd-3m (No. 227, origin choice 2)
Inequivalent atoms, fractional coordinates:
Pr1 0.1250 0.1250 0.1250  12 Ir 3.19, 4 Pr 3.33
Ir1 0.0000 0.0000 0.5000  6 Ir 2.72

## Properties
ΔH_f (0 K): -2.01 eV/f.u.
spin magnetization: 0.00 μB/f.u.
VASP energy: -0.6000 Ry/atom

Entry from the Open Quantum Materials Database: a relaxed TaNbCuBi crystal (GGA-PBE).

Lattice parameters (Å, degrees): 6.7081 6.7081 6.7081 90.00 90.00 90.00
Closest atoms and distances in Å follow each position.
Space group F-43m (No. 216)
Inequivalent atoms, fractional coordinates:
Ta1 0.0000 0.0000 0.0000  4 Nb 2.90, 4 Cu 2.90
Nb1 0.2500 0.2500 0.2500  4 Bi 2.90, 4 Ta 2.90
Cu1 0.2500 0.2500 0.7500  4 Ta 2.90, 4 Bi 2.90
Bi1 0.0000 0.0000 0.5000  4 Cu 2.90, 4 Nb 2.90

## Properties
E above lowest polymorph: 0 meV per atom
spin magnetization: 0.01 μB/f.u.
VASP energy: -0.5027 Ry/atom